1.
Nd2CdGa3Pd4 (PBE-GGA, optimized geometry); magnetic moment = 0.00 μB/cell; ΔE_f = -0.72 eV/atom; ρ = 8.602 g/cm³
1.0
4.1392 0.0000 0.0000
0.0000 4.1392 0.0000
0.0000 0.0000 11.6700
Nd Ga Pd Cd
2 3 4 1
direct
0.0000 0.5000 0.7535
0.5000 0.0000 0.2465
0.0000 0.5000 0.1275
0.5000 0.0000 0.8725
0.0000 0.0000 0.5000
0.0000 0.5000 0.3433
0.0000 0.0000 0.0000
0.5000 0.0000 0.6567
0.5000 0.5000 0.0000
0.5000 0.5000 0.5000

2.
Nd2CdGa3Pt4 (PBE-GGA, optimized geometry); magnetic moment = 0.00 μB/cell; ΔE_f = -0.87 eV/atom; ρ = 11.567 g/cm³
1.0
4.1468 0.0000 0.0000
0.0000 4.1468 0.0000
0.0000 0.0000 11.6074
Cd Ga Pt Nd
1 3 4 2
direct
0.5000 0.5000 0.5000
0.5000 0.0000 0.8727
0.0000 0.0000 0.5000
0.0000 0.5000 0.1273
0.0000 0.0000 0.0000
0.5000 0.5000 0.0000
0.0000 0.5000 0.3420
0.5000 0.0000 0.6580
0.0000 0.5000 0.7553
0.5000 0.0000 0.2447

3.
NdCd2GaPt2 (PBE-GGA, optimized geometry); magnetic moment = 0.00 μB/cell; ΔE_f = -0.30 eV/atom; ρ = 9.123 g/cm³
1.0
5.3642 0.0000 0.0000
0.0000 5.3642 0.0000
-2.6821 -2.6821 5.2437
Nd Cd Pt Ga
1 2 2 1
direct
0.5000 0.5000 0.0000
0.7500 0.2500 0.5000
0.2500 0.7500 0.5000
0.7726 0.7726 0.5452
0.2274 0.2274 0.4548
0.0000 0.0000 0.0000

4.
NdCdGa2Pt5 (PBE-GGA, optimized geometry); magnetic moment = 0.00 μB/cell; ΔE_f = -0.60 eV/atom; ρ = 13.725 g/cm³
1.0
-3.6599 -0.9848 -1.7238
1.8674 -0.4807 -3.6902
1.5490 -9.2339 1.9866
Pt Ga Cd Nd
5 2 1 1
direct
0.5000 0.0000 0.7283
0.5000 0.5000 0.5000
0.0000 0.5000 0.2717
0.5000 0.0000 0.2717
0.0000 0.5000 0.7283
0.5000 0.5000 0.8725
0.5000 0.5000 0.1275
0.0000 0.0000 0.0000
0.0000 0.0000 0.5000

5.
NdCdGaPt3 (PBE-GGA, optimized geometry); magnetic moment = 0.00 μB/cell; ΔE_f = -0.52 eV/atom; ρ = 11.891 g/cm³
1.0
-4.3105 2.4903 -2.8670
-4.6809 -4.5034 3.1259
1.5792 6.2448 3.0498
Pt Ga Cd Nd
6 2 2 2
direct
0.5000 0.6975 0.0000
0.7500 0.8232 0.6465
0.0000 0.3025 0.0000
0.2500 0.1768 0.3535
0.5000 0.3025 0.0000
0.0000 0.6975 0.0000
0.7500 0.6259 0.2518
0.2500 0.3741 0.7482
0.2500 0.9431 0.8861
0.7500 0.0569 0.1139
0.2500 0.6915 0.3831
0.7500 0.3085 0.6169

6.
NdScCdGa (PBE-GGA, optimized geometry); magnetic moment = 0.00 μB/cell; ΔE_f = -0.41 eV/atom; ρ = 6.469 g/cm³
1.0
-3.2591 2.5021 3.0672
-2.1292 -2.4131 3.9917
1.4013 1.2209 4.7787
Sc Nd Cd Ga
1 1 1 1
direct
0.5000 0.5000 0.5000
0.0000 0.0000 0.0000
0.7500 0.7500 0.7500
0.2500 0.2500 0.2500

7.
NdCdGaSn (PBE-GGA, optimized geometry); magnetic moment = 0.00 μB/cell; ΔE_f = -0.47 eV/atom; ρ = 7.609 g/cm³
1.0
4.4475 0.0000 0.0000
0.0000 4.6293 0.0000
0.0000 0.0000 4.7175
Nd Cd Sn Ga
1 1 1 1
direct
0.0000 0.5000 0.5000
0.0000 0.0000 0.0000
0.5000 0.5000 0.0000
0.5000 0.0000 0.5000

8.
NdThCdGa (PBE-GGA, optimized geometry); magnetic moment = 0.00 μB/cell; ΔE_f = -0.31 eV/atom; ρ = 8.631 g/cm³
1.0
-4.4638 -0.9081 -2.7793
0.2599 -2.4168 -4.7503
-1.8259 -4.9824 -0.5621
Ga Nd Th Cd
1 1 1 1
direct
0.2500 0.2500 0.2500
0.0000 0.0000 0.0000
0.5000 0.5000 0.5000
0.7500 0.7500 0.7500

9.
NdTlCdGa (PBE-GGA, optimized geometry); magnetic moment = 0.00 μB/cell; ΔE_f = -0.21 eV/atom; ρ = 8.775 g/cm³
1.0
-4.7076 2.1545 0.6480
-2.2406 0.0048 4.7120
-0.4822 4.4657 2.6549
Tl Cd Ga Nd
1 1 1 1
direct
0.5000 0.5000 0.5000
0.7500 0.7500 0.7500
0.0000 0.0000 0.0000
0.2500 0.2500 0.2500

10.
Nd4Tl2CdGa (PBE-GGA, optimized geometry); magnetic moment = 0.00 μB/cell; ΔE_f = -0.41 eV/atom; ρ = 8.514 g/cm³
1.0
-3.8843 -3.4810 1.5848
0.8053 -3.1873 4.3485
-4.4952 4.0254 7.1998
Ga Nd Tl Cd
1 4 2 1
direct
0.5000 0.5000 0.5000
0.3811 0.3811 0.8568
0.6189 0.6189 0.1432
0.1300 0.1300 0.6099
0.8700 0.8700 0.3901
0.7433 0.7433 0.7700
0.2567 0.2567 0.2300
0.0000 0.0000 0.0000

11.
NdYCdGa (PBE-GGA, optimized geometry); magnetic moment = 0.00 μB/cell; ΔE_f = -0.45 eV/atom; ρ = 6.661 g/cm³
1.0
5.2706 0.0000 0.0000
2.6353 4.5645 0.0000
2.6353 1.5215 4.3034
Nd Y Cd Ga
1 1 1 1
direct
0.2500 0.2500 0.2500
0.7500 0.7500 0.7500
0.5000 0.5000 0.5000
0.0000 0.0000 0.0000

12.
NdYCdGa (PBE-GGA, optimized geometry); magnetic moment = 0.00 μB/cell; ΔE_f = -0.46 eV/atom; ρ = 6.693 g/cm³
1.0
-1.8204 3.1031 -0.7456
-1.4235 -1.5577 -3.0077
-5.9343 -2.4958 4.1012
Cd Nd Ga Y
1 1 1 1
direct
0.0000 0.0000 0.8429
0.5000 0.5000 0.1236
0.0000 0.0000 0.3691
0.5000 0.5000 0.5923

13.
NdZnCdGa (PBE-GGA, optimized geometry); magnetic moment = 0.00 μB/cell; ΔE_f = -0.34 eV/atom; ρ = 7.512 g/cm³
1.0
4.9662 0.0000 0.0000
2.4831 4.3009 0.0000
2.4831 1.4336 4.0549
Nd Ga Zn Cd
1 1 1 1
direct
0.2500 0.2500 0.2500
0.5000 0.5000 0.5000
0.0000 0.0000 0.0000
0.7500 0.7500 0.7500